# 1
A relaxed SrCaCu2C crystal, computed with PBE.

The total energy comes out at -2.287 eV per atom. Its density of states at the Fermi level is 0.175 states/eV/atom.

abc: 4.942 7.486 4.942
angles: 90.00 90.00 90.00
Element x y z (fractional)
C  0.500  0.500  0.500
Cu  0.000  0.000  0.500
Cu  0.500  0.000  0.000
Ca  0.000  0.000  0.000
Sr  0.000  0.500  0.000

---

# 2
A relaxed PmTaO4 crystal, computed with PBE.

The total energy comes out at -9.201 eV per atom. Its formation energy from raw total energies is -18.77 eV/f.u. Its density of states at the Fermi level is 0.000 states/eV/atom.

abc: 5.115 5.848 5.942
angles: 108.62 90.00 90.00
Element x y z (fractional)
O  0.855  0.109  0.321
O  0.145  0.891  0.679
O  0.218  0.308  0.112
O  0.282  0.808  0.112
O  0.718  0.192  0.888
O  0.355  0.391  0.679
O  0.782  0.692  0.888
O  0.645  0.609  0.321
Ta  0.000  0.000  0.000
Ta  0.500  0.500  0.000
Pm  0.000  0.500  0.500
Pm  0.500  0.000  0.500

---

# 3
A relaxed SrHRh crystal, computed with PBE.

The total energy comes out at -4.227 eV per atom. Its density of states at the Fermi level is 0.458 states/eV/atom.

abc: 4.509 3.566 3.566
angles: 120.00 90.00 90.00
Element x y z (fractional)
H  0.167  0.667  0.333
Rh  0.167  0.000  0.000
Sr  0.667  0.333  0.667

---

# 4
A relaxed KNpSn2 crystal, computed with PBE.

The total energy comes out at -5.061 eV per atom. Its density of states at the Fermi level is 2.927 states/eV/atom.

abc: 5.145 5.145 9.102
angles: 73.58 73.58 60.00
Element x y z (fractional)
Np  0.500  0.500  0.500
K  0.000  0.000  0.000
Sn  0.867  0.867  0.399
Sn  0.133  0.133  0.601

---

# 5
A relaxed HfRe2 crystal, computed with PBE.

The total energy comes out at -12.012 eV per atom. Its density of states at the Fermi level is 0.799 states/eV/atom.

abc: 5.274 5.275 8.625
angles: 90.00 90.00 120.00
Element x y z (fractional)
Hf  0.667  0.333  0.564
Hf  0.667  0.333  0.936
Hf  0.333  0.667  0.436
Hf  0.333  0.667  0.064
Re  0.000  0.000  0.500
Re  0.828  0.656  0.250
Re  0.172  0.344  0.750
Re  0.344  0.172  0.250
Re  0.000  0.000  0.000
Re  0.172  0.828  0.750
Re  0.656  0.828  0.750
Re  0.828  0.172  0.250

---

# 6
A relaxed MnCuNi2 crystal, computed with PBE.

The total energy comes out at -6.165 eV per atom. Its density of states at the Fermi level is 1.000 states/eV/atom.

abc: 8.406 8.406 8.406
angles: 17.19 17.19 17.19
Element x y z (fractional)
Cu  0.250  0.250  0.250
Mn  0.750  0.750  0.750
Ni  0.001  0.001  0.001
Ni  0.499  0.499  0.499

---

# 7
A relaxed Sm2MgGe2Rh5 crystal, computed with PBE.

The total energy comes out at -6.441 eV per atom. Its density of states at the Fermi level is 0.409 states/eV/atom.

abc: 3.569 9.986 9.986
angles: 90.00 90.00 90.00
Element x y z (fractional)
Ge  0.000  0.375  0.125
Ge  0.000  0.625  0.875
Ge  0.000  0.875  0.375
Ge  0.000  0.125  0.625
Sm  0.000  0.674  0.174
Sm  0.000  0.826  0.674
Sm  0.000  0.174  0.326
Sm  0.000  0.326  0.826
Rh  0.500  0.933  0.212
Rh  0.500  0.433  0.288
Rh  0.500  0.567  0.712
Rh  0.500  0.067  0.788
Rh  0.500  0.288  0.567
Rh  0.500  0.788  0.933
Rh  0.500  0.212  0.067
Rh  0.500  0.500  0.000
Rh  0.500  0.000  0.500
Rh  0.500  0.712  0.433
Mg  0.000  0.000  0.000
Mg  0.000  0.500  0.500

---

# 8
A relaxed ScTaHgS2 crystal, computed with PBE.

The total energy comes out at -4.001 eV per atom. Its formation energy from raw total energies is 6.74 eV/f.u. Its density of states at the Fermi level is 1.309 states/eV/atom.

abc: 4.911 5.210 4.911
angles: 90.00 90.00 90.00
Element x y z (fractional)
Hg  0.000  0.000  0.000
Sc  0.000  0.500  0.000
S  0.500  0.000  0.000
S  0.000  0.000  0.500
Ta  0.500  0.500  0.500